10
Lattice="9.2844 0.0000 0.0000 0.0000 9.2844 0.0000 0.0000 0.0000 4.0264" Properties=species:S:1:pos:R:3 comment="GGA-PBE RbSn2Bi2, relaxed" formation_energy_mev_per_atom=-84 total_energy_ev_per_atom=-3.431 e_above_lowest_polymorph_mev_per_atom=57 pbc="T T T"
Rb 0.0000 0.0000 0.0000
Rb 4.6422 4.6422 0.0000
Sn 1.1364 3.5058 0.0000
Sn 3.5058 8.1480 0.0000
Sn 5.7787 1.1364 0.0000
Sn 8.1480 5.7787 0.0000
Bi 1.4313 6.0735 2.0132
Bi 3.2109 1.4313 2.0132
Bi 6.0735 7.8532 2.0132
Bi 7.8532 3.2109 2.0132